# 1
# ZrAg2W SCAN single point on PBEsol structure
# ΔH_f (0 K) = 1.430 eV/f.u.
# N(E_F) = 0.81 states/eV per atom
data_ZrAg2W
_cell_length_a 2.8322
_cell_length_b 2.8322
_cell_length_c 29.8715
_cell_angle_alpha 90.00
_cell_angle_beta 90.00
_cell_angle_gamma 120.00
_symmetry_space_group_name_H-M 'R 3 m'
_symmetry_Int_Tables_number 160
_symmetry_space_group_name_Hall 'R 3 -2"'
loop_
_atom_site_label
_atom_site_fract_x
_atom_site_fract_y
_atom_site_fract_z
_atom_site_occupancy
Zr1 0.0000 0.0000 0.0000 1
Ag1 0.0000 0.0000 0.2467 1
Ag2 0.0000 0.0000 0.5002 1
W1 0.0000 0.0000 0.7537 1

=====

# 2
# Y2IrPtSe SCAN single point on PBEsol structure
# ΔE_f (raw) = -0.431 eV per atom
# N(E_F) = 0.41 states/eV per atom
data_Y2IrPtSe
_cell_length_a 5.383
_cell_length_b 5.383
_cell_length_c 4.612
_cell_angle_alpha 90.00
_cell_angle_beta 90.00
_cell_angle_gamma 90.00
_symmetry_space_group_name_H-M 'P 4/m m m'
_symmetry_Int_Tables_number 123
_symmetry_space_group_name_Hall '-P 4 2'
loop_
_atom_site_label
_atom_site_fract_x
_atom_site_fract_y
_atom_site_fract_z
_atom_site_occupancy
Y1 0.000 0.500 0.000 1
Ir1 0.000 0.000 0.500 1
Pt1 0.000 0.000 0.000 1
Se1 0.500 0.500 0.500 1

=====

# 3
# BWSe2Br SCAN single point on PBEsol structure
# ΔE_f (raw) = 1.186 eV per atom
# N(E_F) = 0.73 states/eV per atom
data_BWSe2Br
_cell_length_a 4.812
_cell_length_b 4.812
_cell_length_c 5.207
_cell_angle_alpha 90.00
_cell_angle_beta 90.00
_cell_angle_gamma 90.00
_symmetry_space_group_name_H-M 'P 4/m m m'
_symmetry_Int_Tables_number 123
_symmetry_space_group_name_Hall '-P 4 2'
loop_
_atom_site_label
_atom_site_fract_x
_atom_site_fract_y
_atom_site_fract_z
_atom_site_occupancy
B1 0.000 0.000 0.000 1
W1 0.500 0.500 0.500 1
Se1 0.000 0.500 0.500 1
Br1 0.500 0.500 0.000 1

=====

# 4
# AlCr2Fe SCAN single point on PBEsol structure
# ΔH_f (0 K) = -0.407 eV/f.u.
# E above lowest polymorph = 3.05 kJ per mole of atoms
# N(E_F) = 0.58 states/eV per atom
data_AlCr2Fe
_cell_length_a 2.837
_cell_length_b 3.878
_cell_length_c 8.154
_cell_angle_alpha 90.00
_cell_angle_beta 90.00
_cell_angle_gamma 90.00
_symmetry_space_group_name_H-M 'I m m m'
_symmetry_Int_Tables_number 71
_symmetry_space_group_name_Hall '-I 2 2'
loop_
_atom_site_label
_atom_site_fract_x
_atom_site_fract_y
_atom_site_fract_z
_atom_site_occupancy
Al1 0.000 0.000 0.000 1
Cr1 0.000 0.500 0.242 1
Fe1 0.000 0.000 0.500 1

=====

# 5
# Rb2YB2 SCAN single point on PBEsol structure
# ΔH_f (0 K) = 3.839 eV/f.u.
# E above lowest polymorph = 8.08 kJ per mole of atoms
# N(E_F) = 0.56 states/eV per atom
data_Rb2YB2
_cell_length_a 4.112
_cell_length_b 4.112
_cell_length_c 13.627
_cell_angle_alpha 90.00
_cell_angle_beta 90.00
_cell_angle_gamma 90.00
_symmetry_space_group_name_H-M 'I 4/m m m'
_symmetry_Int_Tables_number 139
_symmetry_space_group_name_Hall '-I 4 2'
loop_
_atom_site_label
_atom_site_fract_x
_atom_site_fract_y
_atom_site_fract_z
_atom_site_occupancy
Rb1 0.000 0.500 0.250 1
Y1 0.000 0.000 0.000 1
B1 0.000 0.000 0.443 1

=====

# 6
# MgPtPb SCAN single point on PBEsol structure
# ΔH_f (0 K) = -0.583 eV/f.u.
# N(E_F) = 0.40 states/eV per atom
data_MgPtPb
_cell_length_a 3.2924
_cell_length_b 3.2924
_cell_length_c 6.6725
_cell_angle_alpha 90.00
_cell_angle_beta 90.00
_cell_angle_gamma 120.00
_symmetry_space_group_name_H-M 'P 3 m 1'
_symmetry_Int_Tables_number 156
_symmetry_space_group_name_Hall 'P 3 -2"'
loop_
_atom_site_label
_atom_site_fract_x
_atom_site_fract_y
_atom_site_fract_z
_atom_site_occupancy
Mg1 0.0000 0.0000 0.0000 1
Pt1 0.3333 0.6667 0.2786 1
Pb1 0.6667 0.3333 0.5986 1

=====

# 7
# FeSi2O6 SCAN single point on PBEsol structure
# ΔE_f (raw) = -2.446 eV per atom
data_FeSi2O6
_cell_length_a 5.099
_cell_length_b 8.939
_cell_length_c 18.792
_cell_angle_alpha 90.00
_cell_angle_beta 93.79
_cell_angle_gamma 90.00
_symmetry_space_group_name_H-M 'C 1 2/c 1'
_symmetry_Int_Tables_number 15
_symmetry_space_group_name_Hall '-C 2yc'
loop_
_atom_site_label
_atom_site_fract_x
_atom_site_fract_y
_atom_site_fract_z
_atom_site_occupancy
Fe1 0.235 0.079 0.000 1
Si1 0.124 0.432 0.643 1
Si2 0.135 0.240 0.143 1
O1 0.074 0.060 0.550 1
O2 0.075 0.442 0.555 1
O3 0.144 0.249 0.055 1
O4 0.148 0.378 0.825 1
O5 0.150 0.188 0.334 1
O6 0.201 0.405 0.175 1

=====

# 8
# AlGa3Pb SCAN single point on PBEsol structure
# ΔH_f (0 K) = 1.884 eV/f.u.
# E above lowest polymorph = 0.00 kJ per mole of atoms
# N(E_F) = 0.54 states/eV per atom
data_AlGa3Pb
_cell_length_a 4.914
_cell_length_b 4.914
_cell_length_c 4.914
_cell_angle_alpha 90.00
_cell_angle_beta 90.00
_cell_angle_gamma 90.00
_symmetry_space_group_name_H-M 'P m -3 m'
_symmetry_Int_Tables_number 221
_symmetry_space_group_name_Hall '-P 4 2 3'
loop_
_atom_site_label
_atom_site_fract_x
_atom_site_fract_y
_atom_site_fract_z
_atom_site_occupancy
Al1 0.000 0.000 0.000 1
Ga1 0.000 0.000 0.500 1
Pb1 0.500 0.500 0.500 1

=====

# 9
# CrHgIr2 SCAN single point on PBEsol structure
# ΔH_f (0 K) = 1.390 eV/f.u.
# N(E_F) = 1.04 states/eV per atom
data_CrHgIr2
_cell_length_a 5.575
_cell_length_b 7.589
_cell_length_c 2.854
_cell_angle_alpha 90.00
_cell_angle_beta 90.00
_cell_angle_gamma 90.00
_symmetry_space_group_name_H-M 'C m m m'
_symmetry_Int_Tables_number 65
_symmetry_space_group_name_Hall '-C 2 2'
loop_
_atom_site_label
_atom_site_fract_x
_atom_site_fract_y
_atom_site_fract_z
_atom_site_occupancy
Cr1 0.000 0.000 0.000 1
Hg1 0.000 0.500 0.000 1
Ir1 0.250 0.250 0.500 1

=====

# 10
# NaSi2I SCAN single point on PBEsol structure
# ΔE_f (raw) = 1.009 eV per atom
# N(E_F) = 0.66 states/eV per atom
data_NaSi2I
_cell_length_a 7.121
_cell_length_b 7.121
_cell_length_c 7.121
_cell_angle_alpha 90.00
_cell_angle_beta 90.00
_cell_angle_gamma 90.00
_symmetry_space_group_name_H-M 'F m -3 m'
_symmetry_Int_Tables_number 225
_symmetry_space_group_name_Hall '-F 4 2 3'
loop_
_atom_site_label
_atom_site_fract_x
_atom_site_fract_y
_atom_site_fract_z
_atom_site_occupancy
Na1 0.000 0.000 0.000 1
Si1 0.250 0.250 0.250 1
I1 0.000 0.000 0.500 1

=====

# 11
# Ta2BeCl SCAN single point on PBEsol structure
# ΔE_f (raw) = 0.372 eV per atom
# E above lowest polymorph = 0.00 kJ per mole of atoms
# N(E_F) = 0.62 states/eV per atom
data_Ta2BeCl
_cell_length_a 3.086
_cell_length_b 4.714
_cell_length_c 8.463
_cell_angle_alpha 90.00
_cell_angle_beta 90.00
_cell_angle_gamma 90.00
_symmetry_space_group_name_H-M 'C m m m'
_symmetry_Int_Tables_number 65
_symmetry_space_group_name_Hall '-C 2 2'
loop_
_atom_site_label
_atom_site_fract_x
_atom_site_fract_y
_atom_site_fract_z
_atom_site_occupancy
Ta1 0.000 0.000 0.241 1
Be1 0.000 0.500 0.000 1
Cl1 0.000 0.500 0.500 1

=====

# 12
# YBeP2 SCAN single point on PBEsol structure
# ΔH_f (0 K) = -1.374 eV/f.u.
# N(E_F) = 0.52 states/eV per atom
data_YBeP2
_cell_length_a 3.732
_cell_length_b 3.732
_cell_length_c 9.253
_cell_angle_alpha 90.00
_cell_angle_beta 90.00
_cell_angle_gamma 90.00
_symmetry_space_group_name_H-M 'I -4 m 2'
_symmetry_Int_Tables_number 119
_symmetry_space_group_name_Hall 'I -4 -2'
loop_
_atom_site_label
_atom_site_fract_x
_atom_site_fract_y
_atom_site_fract_z
_atom_site_occupancy
Y1 0.000 0.000 0.000 1
Be1 0.000 0.500 0.250 1
P1 0.000 0.000 0.500 1
P2 0.000 0.500 0.750 1

=====

# 13
# Cd2SiMo SCAN single point on PBEsol structure
# ΔE_f (raw) = 0.377 eV per atom
# N(E_F) = 0.18 states/eV per atom
data_Cd2SiMo
_cell_length_a 3.621
_cell_length_b 4.252
_cell_length_c 8.897
_cell_angle_alpha 90.00
_cell_angle_beta 90.00
_cell_angle_gamma 90.00
_symmetry_space_group_name_H-M 'I m m 2'
_symmetry_Int_Tables_number 44
_symmetry_space_group_name_Hall 'I 2 -2'
loop_
_atom_site_label
_atom_site_fract_x
_atom_site_fract_y
_atom_site_fract_z
_atom_site_occupancy
Cd1 0.000 0.000 0.000 1
Cd2 0.000 0.500 0.226 1
Si1 0.000 0.000 0.468 1
Mo1 0.000 0.500 0.769 1

=====

# 14
# K3Cr4PO16 SCAN single point on PBEsol structure
# ΔE_f (raw) = -2.040 eV per atom
# N(E_F) = 0.00 states/eV per atom
data_K3Cr4PO16
_cell_length_a 9.464
_cell_length_b 11.618
_cell_length_c 14.949
_cell_angle_alpha 90.00
_cell_angle_beta 106.43
_cell_angle_gamma 90.00
_symmetry_space_group_name_H-M 'C 1 c 1'
_symmetry_Int_Tables_number 9
_symmetry_space_group_name_Hall 'C -2yc'
loop_
_atom_site_label
_atom_site_fract_x
_atom_site_fract_y
_atom_site_fract_z
_atom_site_occupancy
K1 0.000 0.014 0.000 1
K2 0.022 0.269 0.275 1
K3 0.458 0.041 0.496 1
Cr1 0.222 0.235 0.894 1
Cr2 0.234 0.270 0.520 1
Cr3 0.325 0.436 0.221 1
Cr4 0.350 0.059 0.214 1
P1 0.057 0.235 0.679 1
O1 0.095 0.314 0.913 1
O2 0.123 0.236 0.597 1
O3 0.154 0.411 0.172 1
O4 0.179 0.204 0.769 1
O5 0.190 0.395 0.476 1
O6 0.198 0.173 0.439 1
O7 0.225 0.143 0.229 1
O8 0.233 0.115 0.950 1
O9 0.284 0.024 0.626 1
O10 0.358 0.429 0.715 1
O11 0.372 0.393 0.327 1
O12 0.377 0.302 0.922 1
O13 0.407 0.266 0.573 1
O14 0.419 0.016 0.807 1
O15 0.436 0.359 0.157 1
O16 0.494 0.145 0.187 1

=====

# 15
# Co2TcW SCAN single point on PBEsol structure
# ΔH_f (0 K) = 0.515 eV/f.u.
# E above lowest polymorph = 2.61 kJ per mole of atoms
# N(E_F) = 0.51 states/eV per atom
data_Co2TcW
_cell_length_a 3.661
_cell_length_b 3.661
_cell_length_c 7.332
_cell_angle_alpha 90.00
_cell_angle_beta 90.00
_cell_angle_gamma 90.00
_symmetry_space_group_name_H-M 'I 4/m m m'
_symmetry_Int_Tables_number 139
_symmetry_space_group_name_Hall '-I 4 2'
loop_
_atom_site_label
_atom_site_fract_x
_atom_site_fract_y
_atom_site_fract_z
_atom_site_occupancy
Co1 0.000 0.500 0.250 1
Tc1 0.000 0.000 0.000 1
W1 0.000 0.000 0.500 1

=====

# 16
# NaScO2F SCAN single point on PBEsol structure
# ΔE_f (raw) = -1.576 eV per atom
# N(E_F) = 0.21 states/eV per atom
data_NaScO2F
_cell_length_a 3.925
_cell_length_b 3.925
_cell_length_c 3.740
_cell_angle_alpha 90.00
_cell_angle_beta 90.00
_cell_angle_gamma 90.00
_symmetry_space_group_name_H-M 'P 4/m m m'
_symmetry_Int_Tables_number 123
_symmetry_space_group_name_Hall '-P 4 2'
loop_
_atom_site_label
_atom_site_fract_x
_atom_site_fract_y
_atom_site_fract_z
_atom_site_occupancy
Na1 0.000 0.000 0.000 1
Sc1 0.500 0.500 0.500 1
O1 0.000 0.500 0.000 1
F1 0.000 0.000 0.500 1

=====

# 17
# LaYNi4 SCAN single point on PBEsol structure
# ΔH_f (0 K) = -1.972 eV/f.u.
# N(E_F) = 0.50 states/eV per atom
data_LaYNi4
_cell_length_a 7.146
_cell_length_b 7.146
_cell_length_c 7.146
_cell_angle_alpha 90.00
_cell_angle_beta 90.00
_cell_angle_gamma 90.00
_symmetry_space_group_name_H-M 'F -4 3 m'
_symmetry_Int_Tables_number 216
_symmetry_space_group_name_Hall 'F -4 2 3'
loop_
_atom_site_label
_atom_site_fract_x
_atom_site_fract_y
_atom_site_fract_z
_atom_site_occupancy
La1 0.000 0.000 0.000 1
Y1 0.250 0.250 0.750 1
Ni1 0.124 0.124 0.376 1

=====

# 18
# InSnC3 SCAN single point on PBEsol structure
# ΔH_f (0 K) = 14.330 eV/f.u.
# N(E_F) = 0.66 states/eV per atom
data_InSnC3
_cell_length_a 4.291
_cell_length_b 4.291
_cell_length_c 4.291
_cell_angle_alpha 90.00
_cell_angle_beta 90.00
_cell_angle_gamma 90.00
_symmetry_space_group_name_H-M 'P m -3 m'
_symmetry_Int_Tables_number 221
_symmetry_space_group_name_Hall '-P 4 2 3'
loop_
_atom_site_label
_atom_site_fract_x
_atom_site_fract_y
_atom_site_fract_z
_atom_site_occupancy
In1 0.000 0.000 0.000 1
Sn1 0.500 0.500 0.500 1
C1 0.000 0.500 0.500 1

=====

# 19
# Li3AlTc SCAN single point on PBEsol structure
# ΔH_f (0 K) = 5.909 eV/f.u.
# N(E_F) = 0.58 states/eV per atom
data_Li3AlTc
_cell_length_a 4.627
_cell_length_b 4.627
_cell_length_c 4.627
_cell_angle_alpha 90.00
_cell_angle_beta 90.00
_cell_angle_gamma 90.00
_symmetry_space_group_name_H-M 'P m -3 m'
_symmetry_Int_Tables_number 221
_symmetry_space_group_name_Hall '-P 4 2 3'
loop_
_atom_site_label
_atom_site_fract_x
_atom_site_fract_y
_atom_site_fract_z
_atom_site_occupancy
Li1 0.000 0.000 0.500 1
Al1 0.500 0.500 0.500 1
Tc1 0.000 0.000 0.000 1

=====

# 20
# BaMoSe2 SCAN single point on PBEsol structure
# ΔE_f (raw) = -0.248 eV per atom
# E above lowest polymorph = 22.94 kJ per mole of atoms
# N(E_F) = 0.70 states/eV per atom
data_BaMoSe2
_cell_length_a 3.4175
_cell_length_b 3.4175
_cell_length_c 29.1147
_cell_angle_alpha 90.00
_cell_angle_beta 90.00
_cell_angle_gamma 120.00
_symmetry_space_group_name_H-M 'R -3 m'
_symmetry_Int_Tables_number 166
_symmetry_space_group_name_Hall '-R 3 2"'
loop_
_atom_site_label
_atom_site_fract_x
_atom_site_fract_y
_atom_site_fract_z
_atom_site_occupancy
Ba1 0.0000 0.0000 0.0000 1
Mo1 0.0000 0.0000 0.5000 1
Se1 0.0000 0.0000 0.1101 1

=====

# 21
# InMo SCAN single point on PBEsol structure
# ΔH_f (0 K) = 0.448 eV/f.u.
# E above lowest polymorph = 0.00 kJ per mole of atoms
# N(E_F) = 0.49 states/eV per atom
data_InMo
_cell_length_a 3.229
_cell_length_b 3.229
_cell_length_c 7.104
_cell_angle_alpha 90.00
_cell_angle_beta 90.00
_cell_angle_gamma 90.00
_symmetry_space_group_name_H-M 'P 4/n m m'
_symmetry_Int_Tables_number 129
loop_
_symmetry_equiv_pos_as_xyz
'x,y,z'
'-x,-y,-z'
'-y+1/2,x,z'
'y+1/2,-x,-z'
'-x+1/2,-y+1/2,z'
'x+1/2,y+1/2,-z'
'y,-x+1/2,z'
'-y,x+1/2,-z'
'x+1/2,-y,-z'
'-x+1/2,y,z'
'-y,-x,-z'
'y,x,z'
'-x,y+1/2,-z'
'x,-y+1/2,z'
'y+1/2,x+1/2,-z'
'-y+1/2,-x+1/2,z'
loop_
_atom_site_label
_atom_site_fract_x
_atom_site_fract_y
_atom_site_fract_z
_atom_site_occupancy
In1 0.250 0.250 0.159 1
Mo1 0.250 0.250 0.594 1

=====

# 22
# Tm3Ge13Ru4 SCAN single point on PBEsol structure
# ΔH_f (0 K) = -10.022 eV/f.u.
# N(E_F) = 0.37 states/eV per atom
data_Tm3Ge13Ru4
_cell_length_a 8.878
_cell_length_b 8.878
_cell_length_c 8.878
_cell_angle_alpha 90.00
_cell_angle_beta 90.00
_cell_angle_gamma 90.00
_symmetry_space_group_name_H-M 'P m -3 n'
_symmetry_Int_Tables_number 223
_symmetry_space_group_name_Hall '-P 4n 2 3'
loop_
_atom_site_label
_atom_site_fract_x
_atom_site_fract_y
_atom_site_fract_z
_atom_site_occupancy
Tm1 0.000 0.250 0.500 1
Ge1 0.000 0.000 0.000 1
Ge2 0.000 0.303 0.147 1
Ru1 0.250 0.250 0.250 1

=====

# 23
# CsAlF2 SCAN single point on PBEsol structure
# ΔE_f (raw) = -1.688 eV per atom
# N(E_F) = 0.00 states/eV per atom
data_CsAlF2
_cell_length_a 6.782
_cell_length_b 6.782
_cell_length_c 6.782
_cell_angle_alpha 90.00
_cell_angle_beta 90.00
_cell_angle_gamma 90.00
_symmetry_space_group_name_H-M 'F m -3 m'
_symmetry_Int_Tables_number 225
_symmetry_space_group_name_Hall '-F 4 2 3'
loop_
_atom_site_label
_atom_site_fract_x
_atom_site_fract_y
_atom_site_fract_z
_atom_site_occupancy
Cs1 0.000 0.000 0.000 1
Al1 0.000 0.000 0.500 1
F1 0.250 0.250 0.250 1